# CaPrPdAu (GGA-PBE, relaxed)
# Energy above the lowest structure with this stoichiometry ... 0.0344 eV per atom
# Magnetic moment ... 0.0000 μB per atom
# Calculated formation energy ... -749 meV/atom
data_CaPrPdAu
_symmetry_space_group_name_H-M 'F -4 3 m'
_symmetry_Int_Tables_number 216
_symmetry_space_group_name_Hall 'F -4 2 3'
_cell_length_a 7.290
_cell_length_b 7.290
_cell_length_c 7.290
_cell_angle_alpha 90.00
_cell_angle_beta 90.00
_cell_angle_gamma 90.00
loop_
_atom_site_label
_atom_site_fract_x
_atom_site_fract_y
_atom_site_fract_z
Ca1 0.000 0.000 0.000
Pr1 0.000 0.000 0.500
Pd1 0.250 0.250 0.250
Au1 0.250 0.250 0.750


# HfScCu3 (GGA-PBE, relaxed)
# Energy above the lowest structure with this stoichiometry ... 0.9798 eV per atom
# Magnetic moment ... 0.0000 μB per atom
# Calculated formation energy ... 871 meV/atom
data_HfScCu3
_symmetry_space_group_name_H-M 'P m -3 m'
_symmetry_Int_Tables_number 221
_symmetry_space_group_name_Hall '-P 4 2 3'
_cell_length_a 4.544
_cell_length_b 4.544
_cell_length_c 4.544
_cell_angle_alpha 90.00
_cell_angle_beta 90.00
_cell_angle_gamma 90.00
loop_
_atom_site_label
_atom_site_fract_x
_atom_site_fract_y
_atom_site_fract_z
Hf1 0.000 0.000 0.000
Sc1 0.500 0.500 0.500
Cu1 0.000 0.500 0.500


# RbPrTc2O8 (GGA-PBE, relaxed)
# Raw formation energy ... -1889 meV/atom
# Magnetic moment ... 0.1698 μB per atom
data_RbPrTc2O8
_symmetry_space_group_name_H-M 'P -3'
_symmetry_Int_Tables_number 147
_cell_length_a 6.1244
_cell_length_b 6.1244
_cell_length_c 8.1112
_cell_angle_alpha 90.00
_cell_angle_beta 90.00
_cell_angle_gamma 120.00
loop_
_symmetry_equiv_pos_as_xyz
'x,y,z'
'-x,-y,-z'
'-y,x-y,z'
'y,-x+y,-z'
'-x+y,-x,z'
'x-y,x,-z'
loop_
_atom_site_label
_atom_site_fract_x
_atom_site_fract_y
_atom_site_fract_z
Rb1 0.0000 0.0000 0.0000
Pr1 0.0000 0.0000 0.5000
Tc1 0.3333 0.6667 0.7604
O1 0.1728 0.3480 0.6842
O2 0.3333 0.6667 0.9757


Question: Which of these has the highest magnetic moment?
Answer: RbPrTc2O8